Density functional theory data (PBE) for a relaxed SrTl5Hg2 crystal.

a = 7.0607 Å, b = 14.0862 Å, c = 4.8314 Å
α = 90.00°, β = 90.00°, γ = 90.00°
Space group Pbam (No. 55)
Unique sites:
Sr 0.0000 0.0000 0.0000 (multiplicity 2)
Tl 0.0000 0.5000 0.0000 (multiplicity 2)
Tl 0.0306 0.2563 0.0000 (multiplicity 4)
Tl 0.2249 0.6305 0.5000 (multiplicity 4)
Hg 0.2372 0.8795 0.5000 (multiplicity 4)

Summary:
E_form: -0.143 eV/atom
calculated density: 10.4 Mg/m³
E_tot: -1.9072 eV/atom